## one
First-principles (PBE) data for a geometry-optimized NiCCl3 structure, as listed in Alexandria.

```
NiCCl3
1.0
-2.283 3.183 2.007
0.883 -1.828 3.905
3.657 2.428 0.310
Cl C Ni
3 1 1
direct
0.000 0.500 0.000
0.000 0.000 0.500
0.500 0.000 0.000
0.000 0.000 0.000
0.500 0.500 0.500
```

Output
Calculated volume = 85.2 Å³/cell


## two
First-principles (PBE) data for a geometry-optimized NiCCl3 structure, as listed in Alexandria.

```
NiCCl3
1.0
4.575 0.000 0.000
0.000 4.575 0.000
0.000 0.000 4.575
C Ni Cl
1 1 3
direct
0.500 0.500 0.500
0.000 0.000 0.000
0.000 0.000 0.500
0.000 0.500 0.000
0.500 0.000 0.000
```

Output
Calculated volume = 95.7 Å³/cell


The winner here is two, beating the second structure by 4.0 kJ/mol of atoms.


## one
First-principles (PBE) data for a geometry-optimized NiP2CCl structure, as listed in Alexandria.

```
NiP2CCl
1.0
-3.478 1.492 -1.142
0.689 -1.223 -3.696
-1.963 -3.875 0.916
P Ni Cl C
2 1 1 1
direct
0.000 0.500 0.000
0.500 0.000 0.000
0.500 0.500 0.500
0.000 0.000 0.500
0.000 0.000 0.000
```

Output
Calculated volume = 69.4 Å³/cell


## two
First-principles (PBE) data for a geometry-optimized NiP2CCl structure, as listed in Alexandria.

```
NiP2CCl
1.0
4.344 0.000 0.000
0.000 4.344 0.000
0.000 0.000 4.638
P C Ni Cl
2 1 1 1
direct
0.000 0.500 0.000
0.500 0.000 0.000
0.500 0.500 0.500
0.000 0.000 0.000
0.000 0.000 0.500
```

Output
Calculated volume = 87.5 Å³/cell


The winner here is one, beating the second structure by 36.9 kJ/mol of atoms.


## one
First-principles (PBE) data for a geometry-optimized NiCS2Cl structure, as listed in Alexandria.

```
NiCS2Cl
1.0
4.411 0.000 0.000
0.000 4.411 0.000
0.000 0.000 4.504
Ni Cl C S
1 1 1 2
direct
0.000 0.000 0.000
0.000 0.000 0.500
0.500 0.500 0.500
0.500 0.000 0.000
0.000 0.500 0.000
```

Output
Calculated volume = 87.6 Å³/cell


## two
First-principles (PBE) data for a geometry-optimized NiCS2Cl structure, as listed in Alexandria.

```
NiCS2Cl
1.0
-1.515 -0.855 3.326
-3.049 -1.337 -1.733
2.895 -6.234 -0.284
S C Cl Ni
2 1 1 1
direct
0.000 0.500 0.000
0.500 0.000 0.000
0.000 0.000 0.000
0.000 0.000 0.500
0.500 0.500 0.500
```

Output
Calculated volume = 96.9 Å³/cell


The winner here is two, beating the second structure by 37.6 kJ/mol of atoms.


## one
First-principles (PBE) data for a geometry-optimized Pb2CCl2O3 structure, as listed in Alexandria.

```
Pb2CCl2O3
1.0
-7.117 0.387 4.849
-2.616 -8.988 -1.165
4.912 -1.047 7.431
Pb O C Cl
8 12 4 8
direct
0.830 0.351 0.373
0.263 0.210 0.101
0.719 0.873 0.371
0.305 0.709 0.131
0.689 0.282 0.879
0.144 0.643 0.647
0.720 0.802 0.919
0.285 0.120 0.642
0.701 0.437 0.119
0.312 0.555 0.877
0.738 0.600 0.317
0.391 0.315 0.879
0.728 0.465 0.725
0.941 0.483 0.584
0.265 0.392 0.682
0.611 0.674 0.118
0.122 0.615 0.360
0.064 0.392 0.257
0.282 0.470 0.188
0.919 0.598 0.817
0.153 0.496 0.273
0.322 0.423 0.815
0.860 0.513 0.711
0.684 0.570 0.183
0.873 0.881 0.650
0.099 0.109 0.384
0.030 0.214 0.887
0.966 0.826 0.107
0.348 0.909 0.884
0.590 0.163 0.549
0.627 0.087 0.121
0.417 0.824 0.451
```

Output
Calculated volume = 716.7 Å³/cell


## two
First-principles (PBE) data for a geometry-optimized Pb2CCl2O3 structure, as listed in Alexandria.

```
Pb2CCl2O3
1.0
8.263 0.000 0.000
0.000 8.263 0.000
0.000 0.000 9.037
Cl C Pb O
8 4 8 12
direct
0.500 0.500 0.752
0.852 0.648 0.500
0.148 0.352 0.500
0.352 0.852 0.500
0.500 0.500 0.248
0.000 0.000 0.752
0.000 0.000 0.248
0.648 0.148 0.500
0.322 0.822 0.000
0.678 0.178 0.000
0.822 0.678 0.000
0.178 0.322 0.000
0.668 0.832 0.259
0.668 0.832 0.741
0.832 0.332 0.259
0.332 0.168 0.741
0.168 0.668 0.741
0.168 0.668 0.259
0.332 0.168 0.259
0.832 0.332 0.741
0.128 0.372 0.872
0.872 0.628 0.128
0.790 0.290 0.000
0.372 0.872 0.128
0.710 0.790 0.000
0.628 0.128 0.872
0.290 0.210 0.000
0.872 0.628 0.872
0.210 0.710 0.000
0.372 0.872 0.872
0.628 0.128 0.128
0.128 0.372 0.128
```

Output
Calculated volume = 617.0 Å³/cell


The winner here is two, beating the second structure by 2.3 kJ/mol of atoms.


## one
First-principles (PBE) data for a geometry-optimized OsC3Cl structure, as listed in Alexandria.

```
OsC3Cl
1.0
-2.258 2.038 -1.969
-2.370 -2.738 -0.117
-1.554 1.216 3.039
C Cl Os
3 1 1
direct
0.500 0.000 0.000
0.000 0.000 0.500
0.000 0.500 0.000
0.000 0.000 0.000
0.500 0.500 0.500
```

Output
Calculated volume = 47.6 Å³/cell


## two
First-principles (PBE) data for a geometry-optimized OsC3Cl structure, as listed in Alexandria.

```
OsC3Cl
1.0
-0.704 3.464 1.944
-2.686 -1.870 2.359
2.927 -0.883 2.633
C Cl Os
3 1 1
direct
0.500 0.000 0.000
0.000 0.500 0.000
0.000 0.000 0.500
0.500 0.500 0.500
0.000 0.000 0.000
```

Output
Calculated volume = 65.7 Å³/cell


The winner here is two, beating the second structure by 153.2 kJ/mol of atoms.


## one
First-principles (PBE) data for a geometry-optimized OsC2Cl structure, as listed in Alexandria.

```
OsC2Cl
1.0
0.000 2.763 2.763
2.763 0.000 2.763
2.763 2.763 0.000
Os Cl C
1 1 2
direct
0.500 0.500 0.500
0.000 0.000 0.000
0.750 0.750 0.750
0.250 0.250 0.250
```

Output
Calculated volume = 42.2 Å³/cell


## two
First-principles (PBE) data for a geometry-optimized OsC2Cl structure, as listed in Alexandria.

```
OsC2Cl
1.0
6.077 0.000 0.000
0.000 6.077 0.000
3.038 3.038 4.302
Cl Os C
2 2 4
direct
0.500 0.500 0.000
0.250 0.750 0.500
0.750 0.250 0.500
0.000 0.000 0.000
0.375 0.125 0.750
0.875 0.625 0.250
0.875 0.125 0.250
0.875 0.125 0.750
```

Output
Calculated volume = 158.9 Å³/cell


The winner here is two, beating the second structure by 154.8 kJ/mol of atoms.


## one
First-principles (PBE) data for a geometry-optimized OsCCl3 structure, as listed in Alexandria.

```
OsCCl3
1.0
4.712 0.000 0.000
0.000 4.712 0.000
0.000 0.000 4.712
Os Cl C
1 3 1
direct
0.000 0.000 0.000
0.000 0.500 0.000
0.500 0.000 0.000
0.000 0.000 0.500
0.500 0.500 0.500
```

Output
Calculated volume = 104.6 Å³/cell


## two
First-principles (PBE) data for a geometry-optimized OsCCl3 structure, as listed in Alexandria.

```
OsCCl3
1.0
-4.029 1.769 0.618
-0.624 0.115 -4.398
-1.767 -4.075 0.144
Cl C Os
3 1 1
direct
0.000 0.000 0.500
0.500 0.000 0.000
0.000 0.500 0.000
0.000 0.000 0.000
0.500 0.500 0.500
```

Output
Calculated volume = 87.8 Å³/cell


The winner here is one, beating the second structure by 25.7 kJ/mol of atoms.


## one
First-principles (PBE) data for a geometry-optimized OsC2Cl2 structure, as listed in Alexandria.

```
OsC2Cl2
1.0
6.677 0.000 0.000
0.000 6.677 0.000
3.338 3.338 2.568
Os C Cl
1 2 2
direct
0.000 0.000 0.000
0.374 0.374 0.252
0.626 0.626 0.748
0.750 0.250 0.500
0.250 0.750 0.500
```

Output
Calculated volume = 114.5 Å³/cell


## two
First-principles (PBE) data for a geometry-optimized OsC2Cl2 structure, as listed in Alexandria.

```
OsC2Cl2
1.0
-0.341 -5.710 0.753
4.434 -0.741 -3.617
2.962 0.294 3.570
Cl C Os
4 4 2
direct
0.195 0.695 0.500
0.805 0.305 0.500
0.305 0.195 0.500
0.695 0.805 0.500
0.259 0.241 0.000
0.241 0.741 0.000
0.759 0.259 0.000
0.741 0.759 0.000
0.500 0.500 0.000
0.000 0.000 0.000
```

Output
Calculated volume = 154.7 Å³/cell


The winner here is one, beating the second structure by 15.9 kJ/mol of atoms.